Entry from Alexandria via LeMat-Bulk: an optimized crystal structure of SrAgP2 (PBE).

Cell: 4.595 6.347 6.323 Å, 90.00 90.00 90.00°
Atoms (fractional coordinates):
1 Sr 0.000 0.000 0.000
2 Sr 0.500 0.500 0.000
3 Ag 0.000 0.000 0.500
4 Ag 0.500 0.500 0.500
5 P 0.000 0.500 0.319
6 P 0.000 0.500 0.681
7 P 0.500 0.000 0.319
8 P 0.500 0.000 0.681

Computed properties:
Formation enthalpy at 0 K ... -0.16 eV/atom

=====

Entry from Alexandria via LeMat-Bulk: an optimized crystal structure of RbTl3H2F6 (PBE).

Cell: 5.780 5.780 7.876 Å, 90.00 90.00 120.00°
Atoms (fractional coordinates):
1 Rb 0.000 0.000 0.000
2 Tl 0.000 0.000 0.500
3 Tl 0.333 0.667 0.293
4 Tl 0.667 0.333 0.707
5 H 0.333 0.667 0.744
6 H 0.667 0.333 0.256
7 F 0.196 0.391 0.743
8 F 0.196 0.804 0.743
9 F 0.391 0.196 0.257
10 F 0.609 0.804 0.743
11 F 0.804 0.196 0.257
12 F 0.804 0.609 0.257

Computed properties:
DFT total energy ... -3.86 eV/atom

=====

Entry from Alexandria via LeMat-Bulk: an optimized crystal structure of PmPr2PtO5 (PBE).

Cell: 6.787 6.787 5.846 Å, 90.00 90.00 90.00°
Atoms (fractional coordinates):
1 Pm 0.000 0.000 0.000
2 Pm 0.500 0.500 0.000
3 Pr 0.168 0.332 0.500
4 Pr 0.332 0.832 0.500
5 Pr 0.668 0.168 0.500
6 Pr 0.832 0.668 0.500
7 Pt 0.000 0.500 0.000
8 Pt 0.500 0.000 0.000
9 O 0.000 0.000 0.500
10 O 0.148 0.648 0.247
11 O 0.148 0.648 0.753
12 O 0.352 0.148 0.247
13 O 0.352 0.148 0.753
14 O 0.500 0.500 0.500
15 O 0.648 0.852 0.247
16 O 0.648 0.852 0.753
17 O 0.852 0.352 0.247
18 O 0.852 0.352 0.753

Computed properties:
Uncorrected formation energy ... -21.24 eV per formula unit

=====

Entry from Alexandria via LeMat-Bulk: an optimized crystal structure of PmDyTm (PBE).

Cell: 3.561 3.561 15.110 Å, 90.00 90.00 90.00°
Atoms (fractional coordinates):
1 Pm 0.000 0.000 0.000
2 Pm 0.500 0.500 0.500
3 Dy 0.000 0.000 0.331
4 Dy 0.500 0.500 0.831
5 Tm 0.000 0.000 0.667
6 Tm 0.500 0.500 0.167

Computed properties:
Formation enthalpy at 0 K ... 0.02 eV/atom
Relative energy among the computed polymorphs ... 0.027 eV per atom

=====

Entry from Alexandria via LeMat-Bulk: an optimized crystal structure of GeRuCl3 (PBE).

Cell: 5.132 5.132 5.132 Å, 90.00 90.00 90.00°
Atoms (fractional coordinates):
1 Ge 0.000 0.000 0.000
2 Ru 0.500 0.500 0.500
3 Cl 0.000 0.000 0.500
4 Cl 0.000 0.500 0.000
5 Cl 0.500 0.000 0.000

Computed properties:
Uncorrected formation energy ... 1.99 eV per formula unit
Relative energy among the computed polymorphs ... 0.237 eV per atom

=====

Entry from Alexandria via LeMat-Bulk: an optimized crystal structure of NdHg3Au (PBE).

Cell: 10.125 5.120 9.554 Å, 90.00 90.00 90.00°
Atoms (fractional coordinates):
1 Nd 0.247 0.250 0.009
2 Nd 0.253 0.750 0.509
3 Nd 0.747 0.250 0.491
4 Nd 0.753 0.750 0.991
5 Hg 0.061 0.750 0.139
6 Hg 0.068 0.250 0.396
7 Hg 0.130 0.750 0.834
8 Hg 0.370 0.250 0.334
9 Hg 0.432 0.750 0.896
10 Hg 0.439 0.250 0.639
11 Hg 0.561 0.750 0.361
12 Hg 0.568 0.250 0.104
13 Hg 0.630 0.750 0.666
14 Hg 0.870 0.250 0.166
15 Hg 0.932 0.750 0.604
16 Hg 0.939 0.250 0.861
17 Au 0.164 0.250 0.685
18 Au 0.336 0.750 0.185
19 Au 0.664 0.250 0.815
20 Au 0.836 0.750 0.315

Computed properties:
Formation enthalpy at 0 K ... -0.34 eV/atom